VASP calculation (GGA+U) on a relaxed structure of Ac2FeCoO6. Values from VASP.

## Properties
Symmetry ... P4/mmm (123)
Energy ... -72.13 eV per cell

Geometry as Quantum ESPRESSO input:
```
&SYSTEM
  ibrav = 0, nat = 10, ntyp = 4
/
ATOMIC_SPECIES
Ac 227.00 Ac.upf
Fe 55.84 Fe.upf
Co 58.93 Co.upf
O 16.00 O.upf
CELL_PARAMETERS angstrom
-0.1864 3.1009 2.4436
1.0178 -3.3516 4.3308
5.4700 0.8335 -0.6405
ATOMIC_POSITIONS crystal
Ac 0.1447 0.5000 0.0000
Ac 0.1447 0.0000 0.5000
Fe 0.6447 0.0000 0.0000
Co 0.6447 0.5000 0.5000
O 0.6447 0.2546 0.2546
O 0.6447 0.2546 0.7454
O 0.1446 0.5000 0.5000
O 0.1447 0.0000 0.0000
O 0.6447 0.7454 0.7454
O 0.6447 0.7454 0.2546
```